(1)
{"formula": "Ce2CdIr", "functional": "GGA-PBE", "state": "optimized geometry", "cell": [[4.652, 0.000, 0.000], [0.000, 4.652, 0.000], [0.000, 0.000, 4.221]], "species": ["Ce", "Ce", "Cd", "Ir"], "frac_coords": [[0.000, 0.500, 0.000], [0.500, 0.000, 0.000], [0.000, 0.000, 0.500], [0.500, 0.500, 0.500]], "e_tot_ev_per_atom": -5.718, "m_tot_mub_per_cell": 0.44, "sg": "P4/mmm, No. 123", "vol_a3_per_atom": 22.84}

***

(2)
{"formula": "P7C6", "functional": "GGA-PBE", "state": "optimized geometry", "cell": [[2.740, 1.582, 5.873], [-2.740, 1.582, 5.873], [0.000, -3.164, 5.873]], "species": ["P", "P", "P", "P", "P", "P", "P", "C", "C", "C", "C", "C", "C"], "frac_coords": [[0.000, 0.000, 0.000], [0.089, 0.089, 0.560], [0.089, 0.560, 0.089], [0.440, 0.911, 0.911], [0.560, 0.089, 0.089], [0.911, 0.440, 0.911], [0.911, 0.911, 0.440], [0.169, 0.169, 0.169], [0.314, 0.314, 0.314], [0.395, 0.395, 0.395], [0.605, 0.605, 0.605], [0.686, 0.686, 0.686], [0.831, 0.831, 0.831]], "e_tot_ev_per_atom": -5.702, "m_tot_mub_per_cell": 0.00, "sg": "R-3m, No. 166", "vol_a3_per_atom": 11.75}

***

(3)
{"formula": "YCdSe2", "functional": "GGA-PBE", "state": "optimized geometry", "cell": [[-3.316, 3.316, 6.261], [3.316, -3.316, 6.261], [3.316, 3.316, -6.261]], "species": ["Y", "Y", "Cd", "Cd", "Se", "Se", "Se", "Se"], "frac_coords": [[0.000, 0.000, 0.000], [0.750, 0.250, 0.500], [0.250, 0.750, 0.500], [0.500, 0.500, 0.000], [0.109, 0.625, 0.984], [0.375, 0.359, 0.484], [0.641, 0.125, 0.016], [0.875, 0.891, 0.516]], "e_form_raw_ev_per_atom": -0.947, "m_tot_mub_per_cell": 0.00, "sg": "I-42d, No. 122", "vol_a3_per_atom": 34.43}

***

(4)
{"formula": "LaAlB2W", "functional": "GGA-PBE", "state": "optimized geometry", "cell": [[4.536, 0.000, 0.000], [0.000, 4.536, 0.000], [0.000, 0.000, 5.185]], "species": ["La", "Al", "B", "B", "W"], "frac_coords": [[0.000, 0.000, 0.000], [0.500, 0.500, 0.500], [0.000, 0.500, 0.000], [0.500, 0.000, 0.000], [0.000, 0.000, 0.500]], "e_tot_ev_per_atom": -4.373, "m_tot_mub_per_cell": 0.00, "sg": "P4/mmm, No. 123", "vol_a3_per_atom": 21.34}

***

(5)
{"formula": "Ta2CoIr", "functional": "GGA-PBE", "state": "optimized geometry", "cell": [[1.440, 0.831, 8.653], [-1.440, 0.831, 8.653], [0.000, -1.663, 8.653]], "species": ["Ta", "Ta", "Co", "Ir"], "frac_coords": [[0.246, 0.246, 0.246], [0.754, 0.754, 0.754], [0.500, 0.500, 0.500], [0.000, 0.000, 0.000]], "e_tot_ev_per_atom": -9.933, "m_tot_mub_per_cell": 0.46, "sg": "R-3m, No. 166", "vol_a3_per_atom": 15.54}

***

(6)
{"formula": "Rb4Ce3ZrSe8", "functional": "GGA-PBE", "state": "optimized geometry", "cell": [[4.288, 2.476, 8.025], [-4.288, 2.476, 8.025], [0.000, -4.951, 8.025]], "species": ["Rb", "Rb", "Rb", "Rb", "Ce", "Ce", "Ce", "Zr", "Se", "Se", "Se", "Se", "Se", "Se", "Se", "Se"], "frac_coords": [[0.000, 0.000, 0.000], [0.000, 0.500, 0.500], [0.500, 0.000, 0.500], [0.500, 0.500, 0.000], [0.000, 0.000, 0.500], [0.000, 0.500, 0.000], [0.500, 0.000, 0.000], [0.500, 0.500, 0.500], [0.235, 0.235, 0.235], [0.249, 0.723, 0.723], [0.277, 0.277, 0.751], [0.277, 0.751, 0.277], [0.723, 0.249, 0.723], [0.723, 0.723, 0.249], [0.751, 0.277, 0.277], [0.765, 0.765, 0.765]], "e_form_raw_ev_per_atom": -1.558, "m_tot_mub_per_cell": 4.03, "sg": "R-3m, No. 166", "vol_a3_per_atom": 31.94}